Computed, not measured: crystalline RbTeIO6 at its relaxed geometry at the GGA-PBE level of DFT.

Summary:
M_tot   0.000 μB/f.u.
N(E_F)   0.00 states/eV/cell
Formation energy without anion corrections   -0.7785 eV/atom

Cell and atoms, written as CIF:
```
data_RbTeIO6
_cell_length_a 5.3395
_cell_length_b 5.8412
_cell_length_c 6.1971
_cell_angle_alpha 89.30
_cell_angle_beta 88.30
_cell_angle_gamma 63.12
_space_group_name_H-M_alt 'P 1'
_space_group_IT_number 1
_space_group_name_Hall 'P 1'
loop_
_atom_site_label
_atom_site_fract_x
_atom_site_fract_y
_atom_site_fract_z
_atom_site_occupancy
Rb1 0.0000 0.0000 0.0000 1
Te1 0.3233 0.3530 0.4995 1
I1 0.6612 0.6799 0.4988 1
O1 0.0074 0.6214 0.3264 1
O2 0.3702 0.6254 0.6704 1
O3 0.4388 0.9280 0.3060 1
O4 0.6342 0.4157 0.3242 1
O5 0.6389 0.9293 0.6899 1
O6 0.9468 0.4169 0.6740 1
```



Computed, not measured: crystalline V2SbPH at its relaxed geometry at the GGA-PBE level of DFT.

Summary:
M_tot   4.916 μB/f.u.
N(E_F)   6.30 states/eV/cell
VASP energy   -5.169 eV per atom

Cell and atoms, written as CIF:
```
data_V2SbPH
_cell_length_a 4.5725
_cell_length_b 4.5725
_cell_length_c 5.1619
_cell_angle_alpha 90.00
_cell_angle_beta 90.00
_cell_angle_gamma 90.00
_space_group_name_H-M_alt 'P 4/m m m'
_space_group_IT_number 123
_space_group_name_Hall '-P 4 2'
loop_
_atom_site_label
_atom_site_fract_x
_atom_site_fract_y
_atom_site_fract_z
_atom_site_occupancy
V1 0.0000 0.5000 0.0000 1
Sb1 0.0000 0.0000 0.5000 1
P1 0.0000 0.0000 0.0000 1
H1 0.5000 0.5000 0.5000 1
```